A plane-wave DFT calculation with GGA-PBEsol was carried out for an optimized crystal structure of LaHgAu.

a = 3.880 Å, b = 3.880 Å, c = 9.663 Å
α = 90.00°, β = 90.00°, γ = 90.00°
Space group I4mm (No. 107)
One atom of each set of equivalent atoms:
La (0.000, 0.000, 0.000) (multiplicity 2)
Hg (0.000, 0.000, 0.678) (multiplicity 2)
Au (0.000, 0.000, 0.336) (multiplicity 2)

Its energy is -3.898 eV/atom. For the energy relative to the elements, the calculation gives -0.619 eV/atom. As for the crystal system: tetragonal.

A plane-wave DFT calculation with GGA-PBEsol was carried out for an optimized crystal structure of La2HgAu.

a = 7.244 Å, b = 7.244 Å, c = 7.244 Å
α = 90.00°, β = 90.00°, γ = 90.00°
Space group F-43m (No. 216)
One atom of each set of equivalent atoms:
La (0.000, 0.000, 0.000) (multiplicity 4)
La (0.250, 0.250, 0.250) (multiplicity 4)
Hg (0.250, 0.250, 0.750) (multiplicity 4)
Au (0.000, 0.000, 0.500) (multiplicity 4)

Its energy is -4.225 eV/atom. For the energy relative to the elements, the calculation gives -0.429 eV/atom. As for the crystal system: cubic.

A plane-wave DFT calculation with GGA-PBEsol was carried out for an optimized crystal structure of La2HgAu.

a = 3.733 Å, b = 5.022 Å, c = 5.556 Å
α = 90.00°, β = 90.00°, γ = 90.00°
Space group Pmm2 (No. 25)
One atom of each set of equivalent atoms:
La (0.000, 0.000, 0.000) (multiplicity 1)
La (0.000, 0.500, 0.414) (multiplicity 1)
Hg (0.500, 0.500, 0.886) (multiplicity 1)
Au (0.500, 0.000, 0.529) (multiplicity 1)

Its energy is -4.439 eV/atom. For the energy relative to the elements, the calculation gives -0.643 eV/atom. As for the crystal system: orthorhombic.

A plane-wave DFT calculation with GGA-PBEsol was carried out for an optimized crystal structure of Li2HgAu2.

a = 7.653 Å, b = 7.653 Å, c = 2.793 Å
α = 90.00°, β = 90.00°, γ = 90.00°
Space group P4/mbm (No. 127)
One atom of each set of equivalent atoms:
Li (0.154, 0.346, 0.000) (multiplicity 4)
Hg (0.000, 0.000, 0.000) (multiplicity 2)
Au (0.139, 0.639, 0.500) (multiplicity 4)

Its energy is -2.823 eV/atom. For the energy relative to the elements, the calculation gives -0.353 eV/atom. As for the crystal system: tetragonal.

A plane-wave DFT calculation with GGA-PBEsol was carried out for an optimized crystal structure of LiHgAu.

a = 3.041 Å, b = 3.753 Å, c = 8.996 Å
α = 90.00°, β = 90.00°, γ = 90.00°
Space group Imm2 (No. 44)
One atom of each set of equivalent atoms:
Li (0.000, 0.000, 0.000) (multiplicity 2)
Hg (0.000, 0.000, 0.330) (multiplicity 2)
Au (0.000, 0.000, 0.646) (multiplicity 2)

Its energy is -2.503 eV/atom. For the energy relative to the elements, the calculation gives -0.351 eV/atom. As for the crystal system: orthorhombic. For the relative energy among the computed polymorphs, the calculation gives 0 kJ/mol of formula units.

A plane-wave DFT calculation with GGA-PBEsol was carried out for an optimized crystal structure of LiHgAu.

a = 4.5657 Å, b = 4.5657 Å, c = 2.8460 Å
α = 90.00°, β = 90.00°, γ = 120.00°
Space group P3m1 (No. 156)
One atom of each set of equivalent atoms:
Li (0.0000, 0.0000, 0.0000) (multiplicity 1)
Hg (0.6667, 0.3333, 0.6732) (multiplicity 1)
Au (0.3333, 0.6667, 0.2631) (multiplicity 1)

Its energy is -2.472 eV/atom. For the energy relative to the elements, the calculation gives -0.319 eV/atom. As for the crystal system: trigonal. For the relative energy among the computed polymorphs, the calculation gives 9 kJ/mol of formula units.

A plane-wave DFT calculation with GGA-PBEsol was carried out for an optimized crystal structure of LiHgAu4.

a = 7.698 Å, b = 7.698 Å, c = 7.698 Å
α = 90.00°, β = 90.00°, γ = 90.00°
Space group F-43m (No. 216)
One atom of each set of equivalent atoms:
Li (0.000, 0.000, 0.000) (multiplicity 4)
Hg (0.250, 0.250, 0.250) (multiplicity 4)
Au (0.125, 0.125, 0.625) (multiplicity 16)

Its energy is -3.207 eV/atom. For the energy relative to the elements, the calculation gives -0.168 eV/atom. As for the crystal system: cubic.

A plane-wave DFT calculation with GGA-PBEsol was carried out for an optimized crystal structure of Mg2HgAu.

a = 8.452 Å, b = 3.265 Å, c = 6.019 Å
α = 90.00°, β = 101.68°, γ = 90.00°
Space group C2/m (No. 12)
One atom of each set of equivalent atoms:
Mg (0.244, 0.000, 0.230) (multiplicity 4)
Hg (0.000, 0.000, 0.500) (multiplicity 2)
Au (0.000, 0.500, 0.000) (multiplicity 2)

Its energy is -2.262 eV/atom. For the energy relative to the elements, the calculation gives -0.280 eV/atom. As for the crystal system: monoclinic.

A plane-wave DFT calculation with GGA-PBEsol was carried out for an optimized crystal structure of Mg2HgAu.

a = 3.405 Å, b = 4.696 Å, c = 5.182 Å
α = 76.36°, β = 70.99°, γ = 89.80°
Space group P1 (No. 1)
One atom of each set of equivalent atoms:
Mg (0.000, 0.000, 0.000) (multiplicity 1)
Mg (0.232, 0.662, 0.533) (multiplicity 1)
Hg (0.746, 0.179, 0.506) (multiplicity 1)
Au (0.500, 0.509, 0.001) (multiplicity 1)

Its energy is -2.361 eV/atom. For the energy relative to the elements, the calculation gives -0.380 eV/atom. As for the crystal system: triclinic.

A plane-wave DFT calculation with GGA-PBEsol was carried out for an optimized crystal structure of MgHgAu2.

a = 4.394 Å, b = 4.394 Å, c = 7.468 Å
α = 90.00°, β = 90.00°, γ = 90.00°
Space group I4/mmm (No. 139)
One atom of each set of equivalent atoms:
Mg (0.000, 0.000, 0.000) (multiplicity 2)
Hg (0.000, 0.000, 0.500) (multiplicity 2)
Au (0.000, 0.500, 0.250) (multiplicity 4)

Its energy is -2.838 eV/atom. For the energy relative to the elements, the calculation gives -0.305 eV/atom. As for the crystal system: tetragonal.

A plane-wave DFT calculation with GGA-PBEsol was carried out for an optimized crystal structure of Mg2HgAu2.

a = 7.568 Å, b = 7.568 Å, c = 3.283 Å
α = 90.00°, β = 90.00°, γ = 90.00°
Space group P4/mbm (No. 127)
One atom of each set of equivalent atoms:
Mg (0.161, 0.339, 0.000) (multiplicity 4)
Hg (0.000, 0.000, 0.500) (multiplicity 2)
Au (0.135, 0.635, 0.500) (multiplicity 4)

Its energy is -2.831 eV/atom. For the energy relative to the elements, the calculation gives -0.461 eV/atom. As for the crystal system: tetragonal.

A plane-wave DFT calculation with GGA-PBEsol was carried out for an optimized crystal structure of Mg2HgAu.

a = 3.267 Å, b = 3.267 Å, c = 7.037 Å
α = 90.00°, β = 90.00°, γ = 90.00°
Space group P4/mmm (No. 123)
One atom of each set of equivalent atoms:
Mg (0.000, 0.000, 0.229) (multiplicity 2)
Hg (0.500, 0.500, 0.500) (multiplicity 1)
Au (0.500, 0.500, 0.000) (multiplicity 1)

Its energy is -2.435 eV/atom. For the energy relative to the elements, the calculation gives -0.454 eV/atom. As for the crystal system: tetragonal.

no.,density (g cm⁻³)
1,12.2
2,11.8
3,10.8
4,12.4
5,13.1
6,13.1
7,14.5
8,9.1
9,9.8
10,14.3
11,11.4
12,9.9